## Sc2CdAuC (PBE)

Data for Sc2CdAuC after structural relaxation.

Geometry as POSCAR:
```
Sc2CdAuC
1.0
4.5077 0.0000 0.0000
0.0000 4.5077 0.0000
0.0000 0.0000 4.4232
Sc Cd Au C
2 1 1 1
direct
0.0000 0.5000 0.0000
0.5000 0.0000 0.0000
0.0000 0.0000 0.5000
0.5000 0.5000 0.5000
0.0000 0.0000 0.0000
```

Summary:
uncorrected energy = -5.5297 eV per atom
total magnetization = 0.00 μB/f.u.
formation energy from the elements = -314 meV/atom
crystal system = tetragonal